Computed, not measured: an optimized crystal structure of CaCu2Re at the PBE level of DFT.

Computed properties:
* M_tot: 0.8 μB/f.u.
* E_tot: -4.97 eV/atom
* energy relative to the elements: 695 meV per atom
* offset from the most stable computed form: 301 meV per atom
* mass density: 9.03 g/cm3

a = 5.185 Å, b = 5.185 Å, c = 5.185 Å
α = 136.59°, β = 136.59°, γ = 63.06°
Atoms (fractional coordinates):
Ca 0.000 0.000 0.000
Cu 0.250 0.750 0.500
Cu 0.500 0.500 0.000
Re 0.750 0.250 0.500

---

Computed, not measured: an optimized crystal structure of CaCuRe at the PBE level of DFT.

Computed properties:
* M_tot: 0.0 μB/f.u.
* E_tot: -6.00 eV/atom
* energy relative to the elements: 184 meV per atom
* offset from the most stable computed form: 0 meV per atom
* mass density: 8.20 g/cm3

a = 5.264 Å, b = 4.269 Å, c = 5.386 Å
α = 90.00°, β = 104.19°, γ = 90.00°
Atoms (fractional coordinates):
Ca 0.243 0.250 0.051
Ca 0.757 0.750 0.949
Cu 0.431 0.250 0.588
Cu 0.569 0.750 0.412
Re 0.124 0.750 0.522
Re 0.876 0.250 0.478

---

Computed, not measured: an optimized crystal structure of CaCuRe at the PBE level of DFT.

Computed properties:
* M_tot: 0.0 μB/f.u.
* E_tot: -5.94 eV/atom
* energy relative to the elements: 246 meV per atom
* offset from the most stable computed form: 62 meV per atom
* mass density: 8.14 g/cm3

a = 5.081 Å, b = 4.360 Å, c = 5.881 Å
α = 90.00°, β = 114.87°, γ = 90.00°
Atoms (fractional coordinates):
Ca 0.000 0.000 0.000
Ca 0.488 0.500 0.006
Cu 0.085 0.500 0.438
Cu 0.846 0.000 0.438
Re 0.400 0.000 0.565
Re 0.657 0.500 0.568

---

Computed, not measured: an optimized crystal structure of Ca2CuRe at the PBE level of DFT.

Computed properties:
* M_tot: 1.8 μB/f.u.
* E_tot: -4.17 eV/atom
* energy relative to the elements: 967 meV per atom
* offset from the most stable computed form: 505 meV per atom
* mass density: 6.21 g/cm3

a = 6.245 Å, b = 6.245 Å, c = 6.245 Å
α = 102.13°, β = 102.13°, γ = 125.44°
Atoms (fractional coordinates):
Ca 0.100 0.625 0.975
Ca 0.375 0.350 0.475
Ca 0.650 0.125 0.025
Ca 0.875 0.900 0.525
Cu 0.000 0.000 0.000
Cu 0.750 0.250 0.500
Re 0.250 0.750 0.500
Re 0.500 0.500 0.000

---

Computed, not measured: an optimized crystal structure of CaCu2Re at the PBE level of DFT.

Computed properties:
* M_tot: 0.0 μB/f.u.
* E_tot: -5.27 eV/atom
* energy relative to the elements: 394 meV per atom
* offset from the most stable computed form: 0 meV per atom
* mass density: 8.83 g/cm3

a = 2.778 Å, b = 3.784 Å, c = 6.318 Å
α = 90.00°, β = 90.07°, γ = 90.00°
Atoms (fractional coordinates):
Ca 0.000 0.000 0.000
Cu 0.499 0.500 0.305
Cu 0.501 0.500 0.695
Re 0.000 0.000 0.500

---

Computed, not measured: an optimized crystal structure of CaCu2Re at the PBE level of DFT.

Computed properties:
* M_tot: 0.0 μB/f.u.
* E_tot: -5.24 eV/atom
* energy relative to the elements: 417 meV per atom
* offset from the most stable computed form: 23 meV per atom
* mass density: 9.33 g/cm3

a = 5.195 Å, b = 5.195 Å, c = 4.939 Å
α = 106.89°, β = 106.89°, γ = 29.65°
Atoms (fractional coordinates):
Ca 0.000 0.000 0.000
Cu 0.471 0.471 0.497
Cu 0.763 0.763 0.162
Re 0.218 0.218 0.612

---

Computed, not measured: an optimized crystal structure of Ca2CuRe at the PBE level of DFT.

Computed properties:
* M_tot: 0.0 μB/f.u.
* E_tot: -4.68 eV/atom
* energy relative to the elements: 461 meV per atom
* offset from the most stable computed form: 0 meV per atom
* mass density: 6.48 g/cm3

a = 5.817 Å, b = 5.817 Å, c = 5.394 Å
α = 108.22°, β = 108.22°, γ = 29.33°
Atoms (fractional coordinates):
Ca 0.000 0.000 0.000
Ca 0.196 0.196 0.619
Cu 0.436 0.436 0.463
Re 0.764 0.764 0.162

---

Computed, not measured: an optimized crystal structure of CaCu2Re at the PBE level of DFT.

Computed properties:
* M_tot: 2.8 μB/f.u.
* E_tot: -4.80 eV/atom
* energy relative to the elements: 857 meV per atom
* offset from the most stable computed form: 462 meV per atom
* mass density: 8.77 g/cm3

a = 4.557 Å, b = 4.557 Å, c = 4.557 Å
α = 60.00°, β = 60.00°, γ = 60.00°
Atoms (fractional coordinates):
Ca 0.000 0.000 0.000
Cu 0.500 0.500 0.500
Cu 0.750 0.750 0.750
Re 0.250 0.250 0.250

---

Computed, not measured: an optimized crystal structure of Ca2CuRe at the PBE level of DFT.

Computed properties:
* M_tot: 2.0 μB/f.u.
* E_tot: -4.37 eV/atom
* energy relative to the elements: 766 meV per atom
* offset from the most stable computed form: 304 meV per atom
* mass density: 6.17 g/cm3

a = 5.008 Å, b = 5.008 Å, c = 5.008 Å
α = 60.00°, β = 60.00°, γ = 60.00°
Atoms (fractional coordinates):
Ca 0.250 0.250 0.250
Ca 0.750 0.750 0.750
Cu 0.000 0.000 0.000
Re 0.500 0.500 0.500

---

Computed, not measured: an optimized crystal structure of CaCu2Re at the PBE level of DFT.

Computed properties:
* M_tot: 0.0 μB/f.u.
* E_tot: -5.00 eV/atom
* energy relative to the elements: 664 meV per atom
* offset from the most stable computed form: 269 meV per atom
* mass density: 9.08 g/cm3

a = 9.423 Å, b = 9.423 Å, c = 9.423 Å
α = 17.31°, β = 17.31°, γ = 17.31°
Atoms (fractional coordinates):
Ca 0.000 0.000 0.000
Cu 0.243 0.243 0.243
Cu 0.757 0.757 0.757
Re 0.500 0.500 0.500

---

Computed, not measured: an optimized crystal structure of CaCu2Re at the PBE level of DFT.

Computed properties:
* M_tot: 0.0 μB/f.u.
* E_tot: -5.23 eV/atom
* energy relative to the elements: 427 meV per atom
* offset from the most stable computed form: 33 meV per atom
* mass density: 9.25 g/cm3

a = 2.785 Å, b = 2.785 Å, c = 8.175 Å
α = 90.00°, β = 90.00°, γ = 90.00°
Atoms (fractional coordinates):
Ca 0.000 0.000 0.000
Cu 0.000 0.000 0.480
Cu 0.500 0.500 0.285
Re 0.500 0.500 0.699

---

Computed, not measured: an optimized crystal structure of CaCu2Re at the PBE level of DFT.

Computed properties:
* M_tot: 0.0 μB/f.u.
* E_tot: -5.01 eV/atom
* energy relative to the elements: 650 meV per atom
* offset from the most stable computed form: 256 meV per atom
* mass density: 8.44 g/cm3

a = 5.792 Å, b = 5.792 Å, c = 5.792 Å
α = 152.92°, β = 127.72°, γ = 59.85°
Atoms (fractional coordinates):
Ca 0.000 0.000 0.000
Cu 0.280 0.780 0.500
Cu 0.720 0.220 0.500
Re 0.500 0.500 0.000

---

Question: mass density of number 6 (CaCu2Re)?
Answer: 9.33 g/cm3